No. 1
VASP calculation (PBE-GGA) on a geometry-optimized In5Hg4 structure.

Cell: 9.4505 9.4505 6.2439 Å, 90.00 90.00 120.00°
Space group P6_3/mcm (No. 193)
One atom of each set of equivalent atoms:
In 0.0000 0.2947 0.2500
In 0.3333 0.6667 0.0000
Hg 0.0000 0.0000 0.0000
Hg 0.0000 0.3710 0.7500

Values from the calculation:
- total energy (eV per atom) = -1.638
- density of states at the Fermi level (states/eV/atom) = 0.457
- calculated formation energy (eV per atom) = 0.02
- spin magnetization (Bohr magnetons per cell) = 0.00


No. 2
VASP calculation (PBE-GGA) on a geometry-optimized PrMgFe structure.

Cell: 13.7044 3.8667 5.4042 Å, 90.00 103.01 90.00°
Space group C2/m (No. 12)
One atom of each set of equivalent atoms:
Pr 0.1372 0.0000 0.3252
Mg 0.0813 0.5000 0.7934
Fe 0.2337 0.0000 0.9130

Values from the calculation:
- total energy (eV per atom) = -4.881
- density of states at the Fermi level (states/eV/atom) = 1.088
- calculated formation energy (eV per atom) = 0.06
- spin magnetization (Bohr magnetons per cell) = 0.00


No. 3
VASP calculation (PBE-GGA) on a geometry-optimized Ca2LaNi2 structure.

Cell: 13.2294 5.9589 7.3702 Å, 90.00 117.98 90.00°
Space group C2/c (No. 15)
One atom of each set of equivalent atoms:
Ca 0.2048 0.0790 0.2935
La 0.0000 0.3638 0.7500
Ni 0.0394 0.1582 0.4376

Values from the calculation:
- total energy (eV per atom) = -4.241
- density of states at the Fermi level (states/eV/atom) = 0.686
- calculated formation energy (eV per atom) = -0.14
- spin magnetization (Bohr magnetons per cell) = 0.00


No. 4
VASP calculation (PBE-GGA) on a geometry-optimized Zn2GaNi8 structure.

Cell: 6.4162 11.4818 4.2604 Å, 90.00 121.22 90.00°
Space group C2/m (No. 12)
One atom of each set of equivalent atoms:
Zn 0.0000 0.1944 0.0000
Ga 0.0000 0.5000 0.5000
Ni 0.0000 0.2946 0.5000
Ni 0.0834 0.0000 0.3066
Ni 0.2153 0.3880 0.1531

Values from the calculation:
- total energy (eV per atom) = -4.692
- density of states at the Fermi level (states/eV/atom) = 1.272
- calculated formation energy (eV per atom) = 0.02
- spin magnetization (Bohr magnetons per cell) = 2.15


No. 5
VASP calculation (PBE-GGA) on a geometry-optimized SrCaTb4 structure.

Cell: 9.6821 9.6821 9.6821 Å, 90.00 90.00 90.00°
Space group F-43m (No. 216)
One atom of each set of equivalent atoms:
Sr 0.0000 0.0000 0.0000
Ca 0.2500 0.2500 0.2500
Tb 0.1240 0.1240 0.6240

Values from the calculation:
- total energy (eV per atom) = -3.502
- density of states at the Fermi level (states/eV/atom) = 1.548
- calculated formation energy (eV per atom) = 0.20
- spin magnetization (Bohr magnetons per cell) = 0.00


No. 6
VASP calculation (PBE-GGA) on a geometry-optimized OsAuBr2 structure.

Cell: 3.0004 4.7114 12.9207 Å, 90.00 90.00 90.00°
Space group Imm2 (No. 44)
One atom of each set of equivalent atoms:
Os 0.0000 0.0000 0.0000
Au 0.0000 0.5000 0.6787
Br 0.0000 0.0000 0.5166
Br 0.0000 0.5000 0.3417

Values from the calculation:
- total energy (eV per atom) = -3.689
- density of states at the Fermi level (states/eV/atom) = 0.791
- ΔE_f (raw) (eV/f.u.) = 3.10
- spin magnetization (Bohr magnetons per cell) = 0.00


No. 7
VASP calculation (PBE-GGA) on a geometry-optimized Pr2Er7Sc2 structure.

Cell: 10.7528 11.4085 5.9803 Å, 90.00 112.05 90.00°
Space group C2/m (No. 12)
One atom of each set of equivalent atoms:
Pr 0.0823 0.0000 0.2984
Er 0.0000 0.5000 0.5000
Er 0.1769 0.2620 0.6905
Er 0.2109 0.5000 0.0829
Sc 0.0000 0.2788 0.0000

Values from the calculation:
- total energy (eV per atom) = -4.761
- density of states at the Fermi level (states/eV/atom) = 1.553
- calculated formation energy (eV per atom) = 0.16
- spin magnetization (Bohr magnetons per cell) = 0.00


No. 8
VASP calculation (PBE-GGA) on a geometry-optimized Pr15Dy4Ho structure.

Cell: 5.1989 5.1989 25.8597 Å, 90.00 90.00 90.00°
Space group P4/mmm (No. 123)
One atom of each set of equivalent atoms:
Pr 0.0000 0.0000 0.0000
Pr 0.0000 0.0000 0.2000
Pr 0.0000 0.0000 0.4000
Pr 0.0000 0.5000 0.0999
Pr 0.0000 0.5000 0.3001
Pr 0.0000 0.5000 0.5000
Dy 0.5000 0.5000 0.2000
Dy 0.5000 0.5000 0.4000
Ho 0.5000 0.5000 0.0000

Values from the calculation:
- total energy (eV per atom) = -4.724
- density of states at the Fermi level (states/eV/atom) = 1.379
- calculated formation energy (eV per atom) = 0.01
- spin magnetization (Bohr magnetons per cell) = 0.00


No. 9
VASP calculation (PBE-GGA) on a geometry-optimized Li4U3TiS8 structure.

Cell: 7.5209 7.5209 18.8756 Å, 90.00 90.00 120.00°
Space group R-3m (No. 166, hexagonal axes)
One atom of each set of equivalent atoms:
Li 0.0000 0.0000 0.0000
Li 0.0000 0.5000 0.0000
U 0.0000 0.5000 0.5000
Ti 0.0000 0.0000 0.5000
S 0.0000 0.0000 0.2548
S 0.0165 0.5082 0.2497

Values from the calculation:
- total energy (eV per atom) = -6.521
- density of states at the Fermi level (states/eV/atom) = 0.854
- ΔE_f (raw) (eV/f.u.) = -21.90
- spin magnetization (Bohr magnetons per cell) = 29.75


No. 10
VASP calculation (PBE-GGA) on a geometry-optimized CuAg3Cl7 structure.

Cell: 10.9190 10.9190 8.9309 Å, 90.00 90.00 120.00°
Space group R3m (No. 160, hexagonal axes)
One atom of each set of equivalent atoms:
Cu 0.0000 0.0000 0.0000
Ag 0.2107 0.4215 0.2414
Cl 0.0000 0.0000 0.7412
Cl 0.0700 0.5350 0.1390
Cl 0.1030 0.5515 0.7154

Values from the calculation:
- total energy (eV per atom) = -2.664
- density of states at the Fermi level (states/eV/atom) = 1.143
- ΔE_f (raw) (eV/f.u.) = -3.73
- spin magnetization (Bohr magnetons per cell) = 0.04


No. 11
VASP calculation (PBE-GGA) on a geometry-optimized Sr2IrCl2 structure.

Cell: 8.3430 8.3430 3.7827 Å, 90.00 90.00 90.00°
Space group P4/mbm (No. 127)
One atom of each set of equivalent atoms:
Sr 0.1800 0.3200 0.0000
Ir 0.0000 0.0000 0.0000
Cl 0.1289 0.6289 0.5000

Values from the calculation:
- total energy (eV per atom) = -4.107
- density of states at the Fermi level (states/eV/atom) = 0.929
- ΔE_f (raw) (eV/f.u.) = -4.62
- spin magnetization (Bohr magnetons per cell) = 0.96


No. 12
VASP calculation (PBE-GGA) on a geometry-optimized BeAs2OsBr structure.

Cell: 4.7100 4.7100 5.4718 Å, 90.00 90.00 90.00°
Space group P4/mmm (No. 123)
One atom of each set of equivalent atoms:
Be 0.0000 0.0000 0.0000
As 0.0000 0.5000 0.5000
Os 0.5000 0.5000 0.5000
Br 0.5000 0.5000 0.0000

Values from the calculation:
- total energy (eV per atom) = -4.196
- density of states at the Fermi level (states/eV/atom) = 1.001
- ΔE_f (raw) (eV/f.u.) = 4.95
- spin magnetization (Bohr magnetons per cell) = 0.00


Question: Which of these has the highest density of states at the Fermi level?
Answer: Pr2Er7Sc2